Na9Tl2Au: optimized geometry, PBE-GGA.

Lattice parameters (Å, degrees): 8.319 9.348 9.325 53.09 52.86 42.33
Element x y z (fractional)
Au1 0.000 0.000 0.000
Na1 0.480 0.311 0.961
Na2 0.500 0.500 0.500
Tl1 0.027 0.726 0.401
Na3 0.886 0.896 0.733
Na4 0.135 0.312 0.805
Na5 0.473 0.785 0.660
Na6 0.114 0.104 0.267
Tl2 0.973 0.274 0.599
Na7 0.527 0.215 0.340
Na8 0.865 0.688 0.195
Na9 0.520 0.689 0.039

D(E_F): 5.5 states/eV/f.u.
Final energy: -20.89 eV/cell
Crystal system: triclinic
Formation energy from the elements: -0.084 eV/atom